[1]
## HfBWBr2 (PBE)

Data for an optimized crystal structure of HfBWBr2.

Summary:
**Formation energy from raw total energies**: 1.306 eV per atom

Structure (POSCAR):
```
HfBWBr2
1.0
4.569 0.000 0.000
0.000 4.403 0.000
0.000 0.000 4.569
B Hf Br W
1 1 2 1
Direct
0.000 0.000 0.000
0.500 0.500 0.500
0.000 0.000 0.500
0.500 0.000 0.000
0.000 0.500 0.000
```

---

[2]
## Tb2Zn5Ru5 (PBE)

Data for an optimized crystal structure of Tb2Zn5Ru5.

Summary:
**ΔH_f (0 K)**: -16.0 kJ per mole of atoms

Structure (POSCAR):
```
Tb2Zn5Ru5
1.0
-2.972 2.413 1.750
2.115 -0.782 4.672
5.388 7.494 -1.185
Tb Zn Ru
2 5 5
Direct
0.000 0.500 0.000
0.000 0.000 0.500
0.000 0.500 0.334
0.000 0.000 0.830
0.000 0.000 0.170
0.000 0.500 0.666
0.500 0.000 0.000
0.500 0.500 0.500
0.500 0.755 0.250
0.500 0.245 0.750
0.500 0.245 0.250
0.500 0.755 0.750
```

---

[3]
## Ba2NaCa2 (PBE)

Data for an optimized crystal structure of Ba2NaCa2.

Summary:
**ΔH_f (0 K)**: 20.7 kJ per mole of atoms
**Relative energy among the computed polymorphs**: 189.7 meV/atom

Structure (POSCAR):
```
Ba2NaCa2
1.0
-2.501 -10.057 2.695
6.048 -3.659 -8.043
3.723 -0.157 2.871
Na Ca Ba
2 4 4
Direct
0.000 0.000 0.000
0.500 0.500 0.000
0.156 0.656 0.500
0.656 0.844 0.500
0.844 0.344 0.500
0.344 0.156 0.500
0.360 0.860 0.000
0.860 0.640 0.000
0.640 0.140 0.000
0.140 0.360 0.000
```

---

[4]
## CuAu (PBE)

Data for an optimized crystal structure of CuAu.

Summary:
**ΔH_f (0 K)**: 4.0 kJ per mole of atoms

Structure (POSCAR):
```
CuAu
1.0
2.778 0.000 0.000
1.389 5.008 0.000
0.000 0.000 4.521
Au Cu
2 2
Direct
0.596 0.808 0.250
0.404 0.192 0.750
0.855 0.290 0.250
0.145 0.710 0.750
```

---

[5]
## Pm2Nd5Y5 (PBE)

Data for an optimized crystal structure of Pm2Nd5Y5.

Summary:
**ΔH_f (0 K)**: 1.4 kJ per mole of atoms

Structure (POSCAR):
```
Pm2Nd5Y5
1.0
5.017 0.000 1.072
2.212 7.570 1.922
0.300 0.630 10.872
Pm Nd Y
2 5 5
Direct
0.917 0.416 0.749
0.083 0.584 0.251
0.500 0.500 0.500
0.334 0.333 0.999
0.416 0.918 0.251
0.584 0.082 0.749
0.666 0.667 0.001
0.832 0.835 0.501
0.250 0.750 0.749
0.750 0.250 0.251
0.168 0.165 0.499
0.000 0.000 0.000
```

---

[6]
## Nd6Ge2SbTe3 (PBE)

Data for an optimized crystal structure of Nd6Ge2SbTe3.

Summary:
**Formation energy from raw total energies**: -1.276 eV per atom

Structure (POSCAR):
```
Nd6Ge2SbTe3
1.0
-1.805 1.605 -3.711
-2.572 -8.274 -2.326
-6.618 2.616 6.993
Nd Ge Sb Te
6 2 1 3
Direct
0.333 0.895 0.665
0.673 0.569 0.345
0.667 0.105 0.335
0.009 0.250 0.019
0.991 0.750 0.981
0.327 0.431 0.655
0.832 0.665 0.665
0.168 0.335 0.335
0.500 0.000 0.000
0.500 0.500 0.000
0.836 0.167 0.672
0.164 0.833 0.328
```

---

[7]
## SrIn3F (PBE)

Data for an optimized crystal structure of SrIn3F.

Summary:
**Formation energy from raw total energies**: 0.395 eV per atom
**Relative energy among the computed polymorphs**: 1125.5 meV/atom

Structure (POSCAR):
```
SrIn3F
1.0
-2.449 -0.733 -5.983
-5.359 -2.691 2.523
-2.759 5.878 0.409
Sr F In
1 1 3
Direct
0.000 0.000 0.000
0.500 0.500 0.500
0.000 0.500 0.000
0.000 0.000 0.500
0.500 0.000 0.000
```

---

[8]
## BaYMo2 (PBE)

Data for an optimized crystal structure of BaYMo2.

Summary:
**ΔH_f (0 K)**: 67.2 kJ per mole of atoms
**Relative energy among the computed polymorphs**: 262.8 meV/atom

Structure (POSCAR):
```
BaYMo2
1.0
-5.987 -6.523 -5.650
-5.358 -8.536 -2.956
-7.925 -6.278 -2.842
Ba Mo Y
1 2 1
Direct
0.738 0.738 0.738
0.980 0.980 0.980
0.263 0.263 0.263
0.519 0.519 0.519
```

---

[9]
## TbPuInGa (PBE)

Data for an optimized crystal structure of TbPuInGa.

Summary:
**ΔH_f (0 K)**: -29.8 kJ per mole of atoms

Structure (POSCAR):
```
TbPuInGa
1.0
5.231 0.000 0.000
2.615 4.530 0.000
2.615 1.510 4.271
In Tb Ga Pu
1 1 1 1
Direct
0.750 0.750 0.750
0.500 0.500 0.500
0.250 0.250 0.250
0.000 0.000 0.000
```

---

[10]
## Sb2Pd4Pt (PBE)

Data for an optimized crystal structure of Sb2Pd4Pt.

Summary:
**Formation energy from raw total energies**: -0.223 eV per atom
**Relative energy among the computed polymorphs**: 127.1 meV/atom

Structure (POSCAR):
```
Sb2Pd4Pt
1.0
4.257 0.000 0.000
2.129 3.687 0.000
2.129 1.229 8.834
Sb Pd Pt
2 4 1
Direct
0.598 0.598 0.207
0.402 0.402 0.793
0.699 0.699 0.902
0.886 0.886 0.342
0.301 0.301 0.098
0.114 0.114 0.658
0.500 0.500 0.500
```

---

[11]
## Cs2PmRuO6 (PBE)

Data for an optimized crystal structure of Cs2PmRuO6.

Summary:
**Formation energy from raw total energies**: -1.574 eV per atom

Structure (POSCAR):
```
Cs2PmRuO6
1.0
5.912 0.000 0.000
0.000 6.671 0.000
0.000 -3.335 5.777
Cs Pm Ru O
2 1 1 6
Direct
0.132 0.333 0.667
0.868 0.667 0.333
0.500 0.000 0.000
0.000 0.000 0.000
0.801 0.132 0.264
0.801 0.132 0.868
0.801 0.736 0.868
0.199 0.868 0.132
0.199 0.264 0.132
0.199 0.868 0.736
```

---

[12]
## Tl4Pd8S (PBE)

Data for an optimized crystal structure of Tl4Pd8S.

Summary:
**Formation energy from raw total energies**: -0.157 eV per atom

Structure (POSCAR):
```
Tl4Pd8S
1.0
4.192 0.000 0.000
0.000 4.004 0.000
0.000 0.000 14.262
Tl Pd S
4 8 1
Direct
0.000 0.000 0.065
0.000 0.500 0.620
0.500 0.500 0.427
0.500 0.000 0.893
0.000 0.000 0.470
0.000 0.500 0.911
0.500 0.500 0.059
0.500 0.000 0.612
0.000 0.500 0.207
0.000 0.000 0.757
0.500 0.000 0.220
0.500 0.500 0.759
0.000 0.000 0.303
```

---

[13]
## ErTcBi (PBE)

Data for an optimized crystal structure of ErTcBi.

Summary:
**ΔH_f (0 K)**: -7.8 kJ per mole of atoms

Structure (POSCAR):
```
ErTcBi
1.0
-2.662 -3.052 1.001
1.341 -3.943 0.237
1.842 -0.935 10.737
Er Bi Tc
2 2 2
Direct
0.562 0.562 0.314
0.438 0.438 0.686
0.302 0.302 0.094
0.698 0.698 0.906
0.838 0.838 0.485
0.162 0.162 0.515
```

---

[14]
## Tl2CdTe2 (PBE)

Data for an optimized crystal structure of Tl2CdTe2.

Summary:
**Formation energy from raw total energies**: -0.028 eV per atom
**Relative energy among the computed polymorphs**: 310.8 meV/atom

Structure (POSCAR):
```
Tl2CdTe2
1.0
5.672 0.000 0.000
0.000 5.672 0.000
2.836 2.836 6.210
Tl Te Cd
2 2 1
Direct
0.750 0.250 0.500
0.250 0.750 0.500
0.386 0.386 0.227
0.614 0.614 0.773
0.000 0.000 0.000
```

---

[15]
## CsErBr3 (PBE)

Data for an optimized crystal structure of CsErBr3.

Summary:
**Formation energy from raw total energies**: -1.577 eV per atom

Structure (POSCAR):
```
CsErBr3
1.0
5.623 0.000 0.000
0.000 5.623 0.000
0.000 0.000 5.623
Cs Br Er
1 3 1
Direct
0.500 0.500 0.500
0.000 0.500 0.000
0.000 0.000 0.500
0.500 0.000 0.000
0.000 0.000 0.000
```

---

[16]
## LaPm3Te6 (PBE)

Data for an optimized crystal structure of LaPm3Te6.

Summary:
**Formation energy from raw total energies**: -1.471 eV per atom

Structure (POSCAR):
```
LaPm3Te6
1.0
4.498 0.000 0.000
0.000 12.741 -0.034
0.000 -4.291 12.393
La Pm Te
2 6 12
Direct
0.750 0.046 0.694
0.250 0.954 0.306
0.750 0.434 0.833
0.250 0.566 0.167
0.750 0.681 0.501
0.250 0.319 0.499
0.750 0.155 0.082
0.250 0.845 0.918
0.750 0.486 0.618
0.250 0.514 0.382
0.750 0.914 0.099
0.250 0.086 0.901
0.750 0.393 0.060
0.250 0.607 0.940
0.750 0.745 0.277
0.250 0.255 0.723
0.750 0.115 0.467
0.250 0.885 0.533
0.750 0.807 0.749
0.250 0.193 0.251
```

---

[17]
## Tc3SnN (PBE)

Data for an optimized crystal structure of Tc3SnN.

Summary:
**Formation energy from raw total energies**: 0.132 eV per atom
**Relative energy among the computed polymorphs**: 89.0 meV/atom

Structure (POSCAR):
```
Tc3SnN
1.0
-0.150 4.659 2.645
-2.397 -3.730 2.048
4.297 -2.188 4.544
Tc Sn N
6 2 2
Direct
0.232 0.509 0.028
0.795 0.648 0.971
0.649 0.048 0.132
0.336 0.113 0.803
0.102 0.908 0.221
0.757 0.954 0.569
0.545 0.412 0.388
0.084 0.566 0.628
0.593 0.917 0.862
0.976 0.209 0.289
```

---

[18]
## RbYSi (PBE)

Data for an optimized crystal structure of RbYSi.

Summary:
**Formation energy from raw total energies**: -0.143 eV per atom
**Relative energy among the computed polymorphs**: 147.8 meV/atom

Structure (POSCAR):
```
RbYSi
1.0
-2.939 8.120 -1.567
-1.225 -1.172 4.950
6.595 -4.780 3.263
Y Si Rb
2 2 2
Direct
0.760 0.985 0.320
0.260 0.485 0.819
0.678 0.403 0.401
0.841 0.566 0.238
0.454 0.179 0.627
0.067 0.792 0.014
```

---

[19]
## NaSn2Hg6 (PBE)

Data for an optimized crystal structure of NaSn2Hg6.

Summary:
**ΔH_f (0 K)**: -3.5 kJ per mole of atoms

Structure (POSCAR):
```
NaSn2Hg6
1.0
5.187 0.000 1.592
2.906 6.794 -0.220
0.496 -1.705 7.631
Na Sn Hg
1 2 6
Direct
0.000 0.500 0.500
0.193 0.773 0.842
0.807 0.227 0.158
0.655 0.717 0.973
0.345 0.283 0.027
0.939 0.830 0.292
0.444 0.714 0.398
0.061 0.170 0.708
0.556 0.286 0.602
```

---

[20]
## ScNbZn2 (PBE)

Data for an optimized crystal structure of ScNbZn2.

Summary:
**ΔH_f (0 K)**: 23.7 kJ per mole of atoms
**Relative energy among the computed polymorphs**: 398.9 meV/atom

Structure (POSCAR):
```
ScNbZn2
1.0
7.406 0.000 0.000
0.000 7.406 0.000
3.703 3.703 2.707
Sc Nb Zn
2 2 4
Direct
0.500 0.500 0.000
0.250 0.750 0.500
0.000 0.000 0.000
0.750 0.250 0.500
0.636 0.125 0.250
0.114 0.625 0.250
0.375 0.364 0.750
0.875 0.886 0.750
```